(1)
# Sc2TlCd2Ag2Au

A relaxed Sc2TlCd2Ag2Au crystal (PBE, OQMD).

```
data_Sc2TlCd2Ag2Au
_cell_length_a 4.8380
_cell_length_b 4.8380
_cell_length_c 6.9103
_cell_angle_alpha 90.00
_cell_angle_beta 90.00
_cell_angle_gamma 90.00
_symmetry_space_group_name_H-M 'P 1'
_symmetry_Int_Tables_number 1
_symmetry_space_group_name_Hall 'P 1'
loop_
_atom_site_label
_atom_site_fract_x
_atom_site_fract_y
_atom_site_fract_z
Cd1 0.0000 0.5000 0.7618
Cd2 0.5000 0.0000 0.2382
Sc1 0.0000 0.5000 0.2356
Sc2 0.5000 0.0000 0.7644
Tl1 0.5000 0.5000 0.5000
Ag1 0.5000 0.5000 0.0000
Ag2 0.0000 0.0000 0.5000
Au1 0.0000 0.0000 0.0000
```

## Properties
* M_tot: 0.000 μB per atom
* energy: -3.5241 eV/atom

(2)
# YScCd2Ag2Au2

A relaxed YScCd2Ag2Au2 crystal (PBE, OQMD).

```
data_YScCd2Ag2Au2
_cell_length_a 4.8618
_cell_length_b 4.8618
_cell_length_c 6.8789
_cell_angle_alpha 90.00
_cell_angle_beta 90.00
_cell_angle_gamma 90.00
_symmetry_space_group_name_H-M 'P 1'
_symmetry_Int_Tables_number 1
_symmetry_space_group_name_Hall 'P 1'
loop_
_atom_site_label
_atom_site_fract_x
_atom_site_fract_y
_atom_site_fract_z
Ag1 0.5000 0.0000 0.7643
Ag2 0.0000 0.5000 0.2357
Cd1 0.0000 0.0000 0.5000
Cd2 0.5000 0.5000 0.0000
Au1 0.5000 0.0000 0.2354
Au2 0.0000 0.5000 0.7646
Y1 0.5000 0.5000 0.5000
Sc1 0.0000 0.0000 0.0000
```

## Properties
* M_tot: 0.002 μB per atom
* energy: -3.8163 eV/atom